Entry 1:
A plane-wave DFT calculation with GGA-PBE was carried out for CePm5Hg3 after structural relaxation.

```
CePm5Hg3
1.0
9.3523 0.0000 0.0000
-4.6762 8.0993 0.0000
0.0000 0.0000 6.9712
Ce Pm Hg
2 10 6
Direct
0.0000 0.0000 0.0000
0.0000 0.0000 0.5000
0.0000 0.3242 0.2500
0.0000 0.6758 0.7500
0.3242 0.0000 0.2500
0.3242 0.3242 0.7500
0.3333 0.6667 0.0000
0.3333 0.6667 0.5000
0.6667 0.3333 0.0000
0.6667 0.3333 0.5000
0.6758 0.0000 0.7500
0.6758 0.6758 0.2500
0.0000 0.3425 0.7500
0.0000 0.6575 0.2500
0.3425 0.0000 0.7500
0.3425 0.3425 0.2500
0.6575 0.0000 0.2500
0.6575 0.6575 0.7500
```

Results
Its space group is P6_3/mcm, No. 193. The value obtained for the total moment is 0.239 μB/atom. The energy comes out at -32.87 eV/f.u.



Entry 2:
A plane-wave DFT calculation with GGA-PBE was carried out for CePm2Hg2 after structural relaxation.

```
CePm2Hg2
1.0
4.8741 0.0000 0.0000
0.0000 7.1656 0.0000
0.0000 0.0000 8.4608
Ce Pm Hg
2 4 4
Direct
0.0000 0.0000 0.0000
0.5000 0.5000 0.5000
0.0000 0.5000 0.1962
0.0000 0.5000 0.8038
0.5000 0.0000 0.3038
0.5000 0.0000 0.6962
0.0000 0.2101 0.5000
0.0000 0.7899 0.5000
0.5000 0.2899 0.0000
0.5000 0.7101 0.0000
```

Results
Its space group is Immm, No. 71. The value obtained for the total moment is 0.258 μB/atom. The energy comes out at -17.22 eV/f.u.